Entry 1:
Below is an optimized crystal structure of TbPr2Sm6, with properties calculated at the GGA-PBE level.

Calculated values
The total magnetization is 0.00 μB/cell. The energy above the most stable polymorph in this dataset comes out at 0.0 meV per atom. Its space-group type is C2/c. The value obtained for the energy of formation from the pure elements is 0.085 eV per atom.

a = 6.140 Å, b = 10.338 Å, c = 10.338 Å
α = 69.71°, β = 84.39°, γ = 84.39°
Positions (direct):
Sm 0.456 0.673 0.451
Sm 0.378 0.880 0.660
Sm 0.956 0.451 0.673
Sm 0.044 0.549 0.327
Sm 0.622 0.120 0.340
Tb 0.750 0.853 0.147
Sm 0.715 0.213 0.994
Pr 0.917 0.818 0.511
Pr 0.583 0.489 0.182
Sm 0.878 0.660 0.880
Sm 0.544 0.327 0.549
Sm 0.285 0.787 0.006
Sm 0.215 0.994 0.213
Pr 0.417 0.511 0.818
Sm 0.785 0.006 0.787
Tb 0.250 0.147 0.853
Sm 0.122 0.340 0.120
Pr 0.083 0.182 0.489

---

Entry 2:
Below is an optimized crystal structure of ZnSiSb2, with properties calculated at the GGA-PBE level.

Calculated values
The value obtained for the formation energy without anion corrections is 256 meV/atom. The total magnetization is 0.00 μB/cell. Its space-group type is P2/m.

a = 3.942 Å, b = 2.986 Å, c = 8.258 Å
α = 104.64°, β = 90.00°, γ = 90.00°
Positions (direct):
Si 0.500 0.250 0.250
Sb 0.000 0.083 0.003
Zn 0.500 0.750 0.750
Sb 0.000 0.417 0.497

---

Entry 3:
Below is an optimized crystal structure of Ce7BCl12, with properties calculated at the GGA-PBE level.

Calculated values
The value obtained for the formation energy without anion corrections is -1804 meV/atom. The total magnetization is 9.54 μB/cell. Its space-group type is R-3.

a = 9.012 Å, b = 9.012 Å, c = 9.012 Å
α = 107.82°, β = 107.82°, γ = 107.82°
Site moments in Bohr magnetons follow the coordinates.
Positions (direct):
Cl 0.842 0.616 0.524  -0.01
Cl 0.312 0.783 0.923  -0.01
Cl 0.077 0.688 0.217  -0.01
Cl 0.476 0.158 0.384  -0.01
B 0.000 0.000 0.000  -0.09
Cl 0.524 0.842 0.616  -0.01
Ce 0.121 0.036 0.324  1.07
Ce 0.036 0.324 0.121  1.07
Cl 0.616 0.524 0.842  -0.01
Cl 0.158 0.384 0.476  -0.01
Cl 0.923 0.312 0.783  -0.01
Cl 0.217 0.077 0.688  -0.01
Ce 0.879 0.964 0.676  1.07
Ce 0.500 0.500 0.500  1.25
Cl 0.384 0.476 0.158  -0.01
Ce 0.676 0.879 0.964  1.07
Ce 0.964 0.676 0.879  1.07
Cl 0.688 0.217 0.077  -0.01
Ce 0.324 0.121 0.036  1.07
Cl 0.783 0.923 0.312  -0.01